# Ta2CrP, relaxed, DFT PBE
data_Ta2CrP
_cell_length_a 3.831
_cell_length_b 3.831
_cell_length_c 18.516
_cell_angle_alpha 90.00
_cell_angle_beta 90.00
_cell_angle_gamma 90.00
_symmetry_space_group_name_H-M 'I -4 2 d'
_symmetry_Int_Tables_number 122
_symmetry_space_group_name_Hall 'I -4 2bw'
loop_
_atom_site_label
_atom_site_type_symbol
_atom_site_fract_x
_atom_site_fract_y
_atom_site_fract_z
Ta1 Ta 0.243 0.250 0.125
Cr1 Cr 0.000 0.000 0.500
P1 P 0.000 0.000 0.000
# Energy relative to the elements, eV/atom: 0.4067
# Calculated total energy, eV/f.u.: -37.11
# Mass density, g cm⁻³: 10.9